Here is NaHf2Fe6 after structural relaxation from the Open Quantum Materials Database. Energies are from GGA-PBE.

Cell: 5.173 5.173 7.465 Å, 111.56 111.56 44.51°
Site moments in Bohr magnetons follow the coordinates.
Element x y z (fractional)
Fe: 0.737 0.737 0.088  2.05
Fe: 0.244 0.244 0.350  2.02
Fe: 0.876 0.876 0.427  0.76
Fe: 0.124 0.124 0.573  0.76
Fe: 0.756 0.756 0.650  2.02
Fe: 0.263 0.263 0.912  2.05
Hf: 0.510 0.510 0.290  -0.27
Hf: 0.490 0.490 0.710  -0.27
Na: 0.000 0.000 0.000  -0.03

Properties
VASP energy: -7.662 eV/atom

=====

Here is NaHfNbFe after structural relaxation from the Open Quantum Materials Database. Energies are from GGA-PBE.

Cell: 4.559 4.559 4.559 Å, 60.00 60.00 60.00°
Element x y z (fractional)
Fe: 0.250 0.250 0.250
Hf: 0.000 0.000 0.000
Na: 0.750 0.750 0.750
Nb: 0.500 0.500 0.500

Properties
energy above the most stable polymorph in this dataset: 0 meV/atom
VASP energy: -6.840 eV/atom

=====

Here is HfNbFeSb after structural relaxation from the Open Quantum Materials Database. Energies are from GGA-PBE.

Cell: 4.609 4.609 4.609 Å, 60.00 60.00 60.00°
Element x y z (fractional)
Fe: 0.750 0.750 0.750
Hf: 0.500 0.500 0.500
Nb: 0.250 0.250 0.250
Sb: 0.000 0.000 0.000

Properties
energy above the most stable polymorph in this dataset: 0 meV/atom
VASP energy: -8.017 eV/atom

=====

Here is HfNbFeSi2 after structural relaxation from the Open Quantum Materials Database. Energies are from GGA-PBE.

Cell: 5.169 5.169 9.236 Å, 116.74 116.74 43.87°
Element x y z (fractional)
Fe: 0.722 0.722 0.374
Fe: 0.278 0.278 0.626
Hf: 0.996 0.996 0.323
Hf: 0.004 0.004 0.677
Nb: 0.187 0.187 0.097
Nb: 0.813 0.813 0.903
Si: 0.484 0.484 0.120
Si: 0.351 0.351 0.423
Si: 0.649 0.649 0.577
Si: 0.516 0.516 0.880

Properties
VASP energy: -8.553 eV/atom

=====

Here is HfNbFeSi after structural relaxation from the Open Quantum Materials Database. Energies are from GGA-PBE.

Cell: 4.434 4.434 4.434 Å, 60.00 60.00 60.00°
Element x y z (fractional)
Fe: 0.750 0.750 0.750
Hf: 0.500 0.500 0.500
Nb: 0.250 0.250 0.250
Si: 0.000 0.000 0.000

Properties
energy above the most stable polymorph in this dataset: 0 meV/atom
VASP energy: -8.481 eV/atom

=====

Here is HfFeNi2 after structural relaxation from the Open Quantum Materials Database. Energies are from GGA-PBE.

Cell: 4.214 4.214 4.214 Å, 60.00 60.00 60.00°
Element x y z (fractional)
Fe: 0.250 0.250 0.250
Hf: 0.500 0.500 0.500
Ni: 0.000 0.000 0.000
Ni: 0.750 0.750 0.750

Properties
VASP energy: -7.503 eV/atom

=====

Here is HfFe2Ni after structural relaxation from the Open Quantum Materials Database. Energies are from GGA-PBE.

Cell: 4.240 4.240 4.240 Å, 60.00 60.00 60.00°
Element x y z (fractional)
Fe: 0.500 0.500 0.500
Fe: 0.750 0.750 0.750
Hf: 0.250 0.250 0.250
Ni: 0.000 0.000 0.000

Properties
VASP energy: -8.167 eV/atom

=====

Here is HfFeNi after structural relaxation from the Open Quantum Materials Database. Energies are from GGA-PBE.

Cell: 4.119 4.119 4.119 Å, 60.00 60.00 60.00°
Element x y z (fractional)
Fe: 0.250 0.250 0.250
Hf: 0.000 0.000 0.000
Ni: 0.750 0.750 0.750

Properties
VASP energy: -7.378 eV/atom

=====

Here is HfFeNi after structural relaxation from the Open Quantum Materials Database. Energies are from GGA-PBE.

Cell: 4.084 4.084 4.084 Å, 60.00 60.00 60.00°
Element x y z (fractional)
Fe: 0.000 0.000 0.000
Hf: 0.250 0.250 0.250
Ni: 0.750 0.750 0.750

Properties
VASP energy: -7.684 eV/atom

=====

Here is Hf4FeNiP2 after structural relaxation from the Open Quantum Materials Database. Energies are from GGA-PBE.

Cell: 5.192 3.589 7.391 Å, 90.00 109.59 90.00°
Element x y z (fractional)
Fe: 0.362 0.000 0.206
Hf: 0.777 0.000 0.074
Hf: 0.705 0.500 0.417
Hf: 0.289 0.000 0.576
Hf: 0.226 0.500 0.939
Ni: 0.643 0.500 0.787
P: 0.138 0.500 0.290
P: 0.859 0.000 0.711

Properties
VASP energy: -8.957 eV/atom

=====

Here is Hf2FeNiSb2 after structural relaxation from the Open Quantum Materials Database. Energies are from GGA-PBE.

Cell: 7.442 7.442 7.442 Å, 131.76 131.76 70.60°
Element x y z (fractional)
Fe: 0.000 0.000 0.000
Fe: 0.750 0.250 0.500
Hf: 0.375 0.881 0.006
Hf: 0.119 0.125 0.494
Hf: 0.631 0.625 0.506
Hf: 0.875 0.369 0.994
Ni: 0.500 0.500 0.000
Ni: 0.250 0.750 0.500
Sb: 0.627 0.125 0.002
Sb: 0.375 0.373 0.498
Sb: 0.875 0.877 0.502
Sb: 0.123 0.625 0.998

Properties
VASP energy: -7.627 eV/atom

=====

Here is HfTlFeNi after structural relaxation from the Open Quantum Materials Database. Energies are from GGA-PBE.

Cell: 4.560 4.560 4.560 Å, 60.00 60.00 60.00°
Element x y z (fractional)
Fe: 0.750 0.750 0.750
Hf: 0.250 0.250 0.250
Ni: 0.500 0.500 0.500
Tl: 0.000 0.000 0.000

Properties
energy above the most stable polymorph in this dataset: 258 meV/atom
VASP energy: -6.271 eV/atom

=====

Which value of VASP energy does entry 10 give?
-8.957 eV/atom